Computed, not measured: an optimized crystal structure of FePd2O6 at the PBE+U level of DFT.

Calculated values
Energy relative to the lowest polymorph listed for this composition in meV per atom: 46
Spin magnetization in μB per formula unit: 1.983

Unit cell a=13.183 b=3.041 c=5.999 alpha=90.00 beta=102.24 gamma=90.00
Space group C2/m (No. 12)
Asymmetric unit:
1 Fe 0.000 0.000 0.000 x2
2 Pd 0.165 0.500 0.329 x4
3 O 0.008 0.500 0.213 x4
4 O 0.150 0.000 0.101 x4
5 O 0.178 0.000 0.559 x4